# SrP2Rh | Alexandria | PBE | optimized geometry
# N(E_F) (states/eV per cell): 1.70
# VASP energy (eV per atom): -5.77
# M_tot (μB/f.u.): 0.0
# Offset from the most stable computed form (meV per atom): 0
data_SrP2Rh
_symmetry_space_group_name_H-M 'P 1 2/m 1'
_symmetry_Int_Tables_number 10
_cell_length_a 4.6151
_cell_length_b 3.9387
_cell_length_c 4.7806
_cell_angle_alpha 90.00
_cell_angle_beta 90.09
_cell_angle_gamma 90.00
loop_
_symmetry_equiv_pos_as_xyz
'x,y,z'
'-x,-y,-z'
'-x,y,-z'
'x,-y,z'
loop_
_atom_site_label
_atom_site_type_symbol
_atom_site_fract_x
_atom_site_fract_y
_atom_site_fract_z
Sr1 Sr 0.0000 0.0000 0.0000
P1 P 0.4993 0.5000 0.7727
Rh1 Rh 0.5000 0.0000 0.5000

# SrP3Rh | Alexandria | PBE | optimized geometry
# N(E_F) (states/eV per cell): 5.92
# VASP energy (eV per atom): -3.16
# M_tot (μB/f.u.): 0.0
# Offset from the most stable computed form (meV per atom): 1950
data_SrP3Rh
_symmetry_space_group_name_H-M 'P m -3 m'
_symmetry_Int_Tables_number 221
_symmetry_space_group_name_Hall '-P 4 2 3'
_cell_length_a 5.2431
_cell_length_b 5.2431
_cell_length_c 5.2431
_cell_angle_alpha 90.00
_cell_angle_beta 90.00
_cell_angle_gamma 90.00
loop_
_atom_site_label
_atom_site_type_symbol
_atom_site_fract_x
_atom_site_fract_y
_atom_site_fract_z
Sr1 Sr 0.0000 0.0000 0.0000
P1 P 0.0000 0.0000 0.5000
Rh1 Rh 0.5000 0.5000 0.5000

# SrPRh3 | Alexandria | PBE | optimized geometry
# N(E_F) (states/eV per cell): 9.61
# VASP energy (eV per atom): -3.79
# M_tot (μB/f.u.): 1.1
# Offset from the most stable computed form (meV per atom): 2562
data_SrPRh3
_symmetry_space_group_name_H-M 'P m -3 m'
_symmetry_Int_Tables_number 221
_symmetry_space_group_name_Hall '-P 4 2 3'
_cell_length_a 4.9135
_cell_length_b 4.9135
_cell_length_c 4.9135
_cell_angle_alpha 90.00
_cell_angle_beta 90.00
_cell_angle_gamma 90.00
loop_
_atom_site_label
_atom_site_type_symbol
_atom_site_fract_x
_atom_site_fract_y
_atom_site_fract_z
Sr1 Sr 0.0000 0.0000 0.0000
P1 P 0.5000 0.5000 0.5000
Rh1 Rh 0.0000 0.0000 0.5000

# SrPRh2 | Alexandria | PBE | optimized geometry
# N(E_F) (states/eV per cell): 1.01
# VASP energy (eV per atom): -5.77
# M_tot (μB/f.u.): 0.0
data_SrPRh2
_symmetry_space_group_name_H-M 'P 1 2/m 1'
_symmetry_Int_Tables_number 10
_cell_length_a 3.2226
_cell_length_b 3.5210
_cell_length_c 7.0102
_cell_angle_alpha 90.00
_cell_angle_beta 101.93
_cell_angle_gamma 90.00
loop_
_symmetry_equiv_pos_as_xyz
'x,y,z'
'-x,-y,-z'
'-x,y,-z'
'x,-y,z'
loop_
_atom_site_label
_atom_site_type_symbol
_atom_site_fract_x
_atom_site_fract_y
_atom_site_fract_z
Sr1 Sr 0.0000 0.0000 0.0000
P1 P 0.0000 0.0000 0.5000
Rh1 Rh 0.3264 0.5000 0.6707

# SrP2Rh | Alexandria | PBE | optimized geometry
# N(E_F) (states/eV per cell): 4.80
# VASP energy (eV per atom): -4.98
# M_tot (μB/f.u.): 0.0
# Offset from the most stable computed form (meV per atom): 793
data_SrP2Rh
_symmetry_space_group_name_H-M 'C 1 2/m 1'
_symmetry_Int_Tables_number 12
_cell_length_a 5.6636
_cell_length_b 6.9921
_cell_length_c 3.7901
_cell_angle_alpha 90.00
_cell_angle_beta 90.24
_cell_angle_gamma 90.00
loop_
_symmetry_equiv_pos_as_xyz
'x,y,z'
'-x,-y,-z'
'-x,y,-z'
'x,-y,z'
'x+1/2,y+1/2,z'
'-x+1/2,-y+1/2,-z'
'-x+1/2,y+1/2,-z'
'x+1/2,-y+1/2,z'
loop_
_atom_site_label
_atom_site_type_symbol
_atom_site_fract_x
_atom_site_fract_y
_atom_site_fract_z
Sr1 Sr 0.0000 0.0000 0.0000
P1 P 0.2500 0.2500 0.5000
Rh1 Rh 0.0000 0.5000 0.0000

# SrP2Rh | Alexandria | PBE | optimized geometry
# N(E_F) (states/eV per cell): 4.43
# VASP energy (eV per atom): -5.77
# M_tot (μB/f.u.): 0.0
# Offset from the most stable computed form (meV per atom): 4
data_SrP2Rh
_symmetry_space_group_name_H-M 'R -3 m'
_symmetry_Int_Tables_number 166
_symmetry_space_group_name_Hall '-R 3 2"'
_cell_length_a 4.0610
_cell_length_b 4.0610
_cell_length_c 16.1253
_cell_angle_alpha 90.00
_cell_angle_beta 90.00
_cell_angle_gamma 120.00
loop_
_atom_site_label
_atom_site_type_symbol
_atom_site_fract_x
_atom_site_fract_y
_atom_site_fract_z
Sr1 Sr 0.0000 0.0000 0.0000
P1 P 0.0000 0.0000 0.2113
Rh1 Rh 0.0000 0.0000 0.5000

# SrPRh2 | Alexandria | PBE | optimized geometry
# N(E_F) (states/eV per cell): 5.94
# VASP energy (eV per atom): -5.35
# M_tot (μB/f.u.): 0.0
data_SrPRh2
_symmetry_space_group_name_H-M 'C 1 2/m 1'
_symmetry_Int_Tables_number 12
_cell_length_a 5.9777
_cell_length_b 9.0288
_cell_length_c 3.0098
_cell_angle_alpha 90.00
_cell_angle_beta 119.84
_cell_angle_gamma 90.00
loop_
_symmetry_equiv_pos_as_xyz
'x,y,z'
'-x,-y,-z'
'-x,y,-z'
'x,-y,z'
'x+1/2,y+1/2,z'
'-x+1/2,-y+1/2,-z'
'-x+1/2,y+1/2,-z'
'x+1/2,-y+1/2,z'
loop_
_atom_site_label
_atom_site_type_symbol
_atom_site_fract_x
_atom_site_fract_y
_atom_site_fract_z
Sr1 Sr 0.0000 0.0000 0.0000
P1 P 0.0000 0.5000 0.0000
Rh1 Rh 0.2500 0.2500 0.5000

# SrPRh2 | Alexandria | PBE | optimized geometry
# N(E_F) (states/eV per cell): 3.16
# VASP energy (eV per atom): -5.85
# M_tot (μB/f.u.): 0.0
data_SrPRh2
_symmetry_space_group_name_H-M 'I m m m'
_symmetry_Int_Tables_number 71
_symmetry_space_group_name_Hall '-I 2 2'
_cell_length_a 3.5028
_cell_length_b 5.5387
_cell_length_c 8.3250
_cell_angle_alpha 90.00
_cell_angle_beta 90.00
_cell_angle_gamma 90.00
loop_
_atom_site_label
_atom_site_type_symbol
_atom_site_fract_x
_atom_site_fract_y
_atom_site_fract_z
Sr1 Sr 0.0000 0.0000 0.0000
P1 P 0.0000 0.0000 0.5000
Rh1 Rh 0.0000 0.5000 0.1718

# SrP4Rh | Alexandria | PBE | optimized geometry
# N(E_F) (states/eV per cell): 12.39
# VASP energy (eV per atom): -4.95
# M_tot (μB/f.u.): 0.0
data_SrP4Rh
_symmetry_space_group_name_H-M 'F -4 3 m'
_symmetry_Int_Tables_number 216
_symmetry_space_group_name_Hall 'F -4 2 3'
_cell_length_a 7.5867
_cell_length_b 7.5867
_cell_length_c 7.5867
_cell_angle_alpha 90.00
_cell_angle_beta 90.00
_cell_angle_gamma 90.00
loop_
_atom_site_label
_atom_site_type_symbol
_atom_site_fract_x
_atom_site_fract_y
_atom_site_fract_z
Sr1 Sr 0.0000 0.0000 0.0000
P1 P 0.1093 0.1093 0.6093
Rh1 Rh 0.2500 0.2500 0.2500

# SrPRh3 | Alexandria | PBE | optimized geometry
# N(E_F) (states/eV per cell): 1.02
# VASP energy (eV per atom): -6.35
# M_tot (μB/f.u.): 0.0
# Offset from the most stable computed form (meV per atom): 0
data_SrPRh3
_symmetry_space_group_name_H-M 'P m -3 m'
_symmetry_Int_Tables_number 221
_symmetry_space_group_name_Hall '-P 4 2 3'
_cell_length_a 4.5131
_cell_length_b 4.5131
_cell_length_c 4.5131
_cell_angle_alpha 90.00
_cell_angle_beta 90.00
_cell_angle_gamma 90.00
loop_
_atom_site_label
_atom_site_type_symbol
_atom_site_fract_x
_atom_site_fract_y
_atom_site_fract_z
Sr1 Sr 0.0000 0.0000 0.0000
P1 P 0.5000 0.5000 0.5000
Rh1 Rh 0.0000 0.5000 0.5000

# Sr8PRh2 | Alexandria | PBE | optimized geometry
# N(E_F) (states/eV per cell): 17.29
# VASP energy (eV per atom): -3.37
# M_tot (μB/f.u.): 0.0
data_Sr8PRh2
_symmetry_space_group_name_H-M 'C 1 2/m 1'
_symmetry_Int_Tables_number 12
_cell_length_a 13.1321
_cell_length_b 9.5131
_cell_length_c 7.3812
_cell_angle_alpha 90.00
_cell_angle_beta 107.14
_cell_angle_gamma 90.00
loop_
_symmetry_equiv_pos_as_xyz
'x,y,z'
'-x,-y,-z'
'-x,y,-z'
'x,-y,z'
'x+1/2,y+1/2,z'
'-x+1/2,-y+1/2,-z'
'-x+1/2,y+1/2,-z'
'x+1/2,-y+1/2,z'
loop_
_atom_site_label
_atom_site_type_symbol
_atom_site_fract_x
_atom_site_fract_y
_atom_site_fract_z
Sr1 Sr 0.0729 0.0000 0.2552
Sr2 Sr 0.1474 0.5000 0.2631
Sr3 Sr 0.1482 0.2997 0.7747
P1 P 0.0000 0.5000 0.5000
Rh1 Rh 0.1834 0.0000 0.9505

# Sr6PRh | Alexandria | PBE | optimized geometry
# N(E_F) (states/eV per cell): 13.98
# VASP energy (eV per atom): -3.21
# M_tot (μB/f.u.): 0.0
data_Sr6PRh
_symmetry_space_group_name_H-M 'P 1 21/c 1'
_symmetry_Int_Tables_number 14
_cell_length_a 7.4938
_cell_length_b 8.2204
_cell_length_c 13.6433
_cell_angle_alpha 90.00
_cell_angle_beta 123.32
_cell_angle_gamma 90.00
loop_
_symmetry_equiv_pos_as_xyz
'x,y,z'
'-x,-y,-z'
'-x,y+1/2,-z+1/2'
'x,-y+1/2,z+1/2'
loop_
_atom_site_label
_atom_site_type_symbol
_atom_site_fract_x
_atom_site_fract_y
_atom_site_fract_z
Sr1 Sr 0.1048 0.0468 0.2484
Sr2 Sr 0.2398 0.6886 0.0690
Sr3 Sr 0.3927 0.1831 0.0677
P1 P 0.5000 0.0000 0.5000
Rh1 Rh 0.0000 0.0000 0.0000